Entry 1:
A relaxed structure of PaAlTl. Source: OQMD via LeMat-Bulk, functional PBE.

Output
Crystal system: cubic
Distance to the lowest polymorph of the same formula: 0 meV per atom

a = 4.8207 Å, b = 4.8207 Å, c = 4.8207 Å
α = 60.00°, β = 60.00°, γ = 60.00°
Site moments in Bohr magnetons follow the coordinates.
Fractional coordinates of all 3 atoms:
Al1 0.0000 0.0000 0.0000  0.02
Pa1 0.2500 0.2500 0.2500  0.79
Tl1 0.7500 0.7500 0.7500  0.01

Entry 2:
A relaxed structure of PaAlTl. Source: OQMD via LeMat-Bulk, functional PBE.

Output
Crystal system: cubic
Distance to the lowest polymorph of the same formula: 190 meV per atom

a = 5.0178 Å, b = 5.0178 Å, c = 5.0178 Å
α = 60.00°, β = 60.00°, γ = 60.00°
Site moments in Bohr magnetons follow the coordinates.
Fractional coordinates of all 3 atoms:
Pa1 0.0000 0.0000 0.0000  0.79
Al1 0.2500 0.2500 0.2500  0.02
Tl1 0.7500 0.7500 0.7500  0.02

Entry 3:
A relaxed structure of Pa2Al2Zn15. Source: OQMD via LeMat-Bulk, functional PBE.

Output
Crystal system: trigonal

a = 6.7912 Å, b = 6.7912 Å, c = 6.7912 Å
α = 82.82°, β = 82.82°, γ = 82.82°
Site moments in Bohr magnetons follow the coordinates.
Fractional coordinates of all 19 atoms:
Al1 0.1013 0.1013 0.1013  0.00
Zn1 0.6459 0.1628 0.6459  0.00
Pa1 0.6635 0.6635 0.6635  0.08
Zn2 0.3006 0.0000 0.6994  0.00
Zn3 0.6994 0.3006 0.0000  0.00
Zn4 0.3541 0.8372 0.3541  0.00
Zn5 0.8372 0.3541 0.3541  0.00
Zn6 0.1628 0.6459 0.6459  0.00
Zn7 0.3006 0.6994 0.0000  0.00
Zn8 0.5000 0.0000 0.0000  0.00
Zn9 0.3541 0.3541 0.8372  0.00
Zn10 0.0000 0.3006 0.6994  0.00
Zn11 0.0000 0.5000 0.0000  0.00
Pa2 0.3365 0.3365 0.3365  0.08
Zn12 0.0000 0.0000 0.5000  0.00
Zn13 0.6459 0.6459 0.1628  0.00
Zn14 0.0000 0.6994 0.3006  0.00
Al2 0.8987 0.8987 0.8987  0.00
Zn15 0.6994 0.0000 0.3006  0.00

Entry 4:
A relaxed structure of ZrPaAl. Source: OQMD via LeMat-Bulk, functional PBE.

Output
Crystal system: cubic
Distance to the lowest polymorph of the same formula: 638 meV per atom

a = 4.8251 Å, b = 4.8251 Å, c = 4.8251 Å
α = 60.00°, β = 60.00°, γ = 60.00°
Site moments in Bohr magnetons follow the coordinates.
Fractional coordinates of all 3 atoms:
Zr1 0.7500 0.7500 0.7500  0.64
Pa1 0.0000 0.0000 0.0000  0.90
Al1 0.2500 0.2500 0.2500  -0.02

Entry 5:
A relaxed structure of ZrPaAl. Source: OQMD via LeMat-Bulk, functional PBE.

Output
Crystal system: cubic
Distance to the lowest polymorph of the same formula: 0 meV per atom

a = 4.7446 Å, b = 4.7446 Å, c = 4.7446 Å
α = 60.00°, β = 60.00°, γ = 60.00°
Site moments in Bohr magnetons follow the coordinates.
Fractional coordinates of all 3 atoms:
Zr1 0.7500 0.7500 0.7500  0.08
Pa1 0.2500 0.2500 0.2500  0.19
Al1 0.0000 0.0000 0.0000  0.00

Entry 6:
A relaxed structure of PmAlPb. Source: OQMD via LeMat-Bulk, functional PBE.

Output
Crystal system: cubic
Distance to the lowest polymorph of the same formula: 157 meV per atom

a = 5.1194 Å, b = 5.1194 Å, c = 5.1194 Å
α = 60.00°, β = 60.00°, γ = 60.00°
Fractional coordinates of all 3 atoms:
Al1 0.5000 0.5000 0.5000
Pb1 0.0000 0.0000 0.0000
Pm1 0.2500 0.2500 0.2500

no.,total DFT energy (no corrections) (eV per atom)
1,-4.74
2,-4.55
3,-2.51
4,-6.28
5,-6.92
6,-3.99